# 1
This record from Alexandria via LeMat-Bulk describes a PBEsol-optimized structure of BaCo2Br. The functional is meta-GGA SCAN.

Results
formation energy from raw total energies: 0.25 eV/atom
excess energy over the best structure of this formula in the dataset: 0 meV/atom
electronic total energy: -92.6 eV/f.u.
ρ: 6.1 g/cm3

Cell: 3.595 4.726 5.369 Å, 90.00 90.00 90.00°
Each line ends with the local moment (μB).
Fractional positions:
Br (0.000, 0.500, 0.500)  0.07
Co (0.500, 0.500, 0.000)  2.12
Co (0.000, 0.000, 0.000)  2.03
Ba (0.500, 0.000, 0.500)  -0.02

# 2
This record from Alexandria via LeMat-Bulk describes a PBEsol-optimized structure of BaCoOsBr2. The functional is meta-GGA SCAN.

Results
formation energy from raw total energies: 0.69 eV/atom
electronic total energy: -164.2 eV/f.u.
ρ: 6.0 g/cm3

Cell: 4.892 4.892 6.284 Å, 90.00 90.00 90.00°
Each line ends with the local moment (μB).
Fractional positions:
Co (0.500, 0.500, 0.500)  2.04
Os (0.000, 0.000, 0.000)  1.31
Br (0.500, 0.000, 0.000)  0.11
Br (0.000, 0.500, 0.000)  0.11
Ba (0.000, 0.000, 0.500)  -0.03

# 3
This record from Alexandria via LeMat-Bulk describes a PBEsol-optimized structure of BaCoPtBr2. The functional is meta-GGA SCAN.

Results
formation energy from raw total energies: 0.52 eV/atom
electronic total energy: -163.4 eV/f.u.
ρ: 4.7 g/cm3

Cell: 5.418 6.011 6.011 Å, 90.00 90.00 90.00°
Each line ends with the local moment (μB).
Fractional positions:
Pt (0.500, 0.000, 0.000)  -0.30
Br (0.000, 0.500, 0.000)  0.04
Br (0.000, 0.000, 0.500)  0.04
Ba (0.000, 0.000, 0.000)  -0.01
Co (0.500, 0.500, 0.500)  2.94

# 4
This record from Alexandria via LeMat-Bulk describes a PBEsol-optimized structure of Ba3CrBr. The functional is meta-GGA SCAN.

Results
formation energy from raw total energies: -0.03 eV/atom
electronic total energy: -156.6 eV/f.u.
ρ: 4.0 g/cm3

Cell: 6.105 6.105 6.105 Å, 90.00 90.00 90.00°
Each line ends with the local moment (μB).
Fractional positions:
Ba (0.000, 0.500, 0.000)  -0.08
Ba (0.000, 0.000, 0.500)  -0.08
Ba (0.500, 0.000, 0.000)  -0.08
Cr (0.000, 0.000, 0.000)  3.79
Br (0.500, 0.500, 0.500)  -0.01

# 5
This record from Alexandria via LeMat-Bulk describes a PBEsol-optimized structure of Cs2BaBr4. The functional is meta-GGA SCAN.

Results
formation energy from raw total energies: -2.18 eV/atom
electronic total energy: -208.3 eV/f.u.
ρ: 4.5 g/cm3

Cell: 8.829 8.829 8.829 Å, 107.97 110.22 110.22°
Fractional positions:
Br (0.254, 0.787, 0.900)
Br (0.746, 0.645, 0.532)
Br (0.754, 0.650, 0.037)
Br (0.113, 0.468, 0.213)
Br (0.246, 0.282, 0.895)
Br (0.387, 0.105, 0.350)
Br (0.887, 0.100, 0.355)
Br (0.613, 0.963, 0.718)
Ba (0.500, 0.750, 0.250)
Ba (0.000, 0.000, 0.000)
Cs (0.361, 0.486, 0.625)
Cs (0.139, 0.875, 0.514)
Cs (0.639, 0.264, 0.125)
Cs (0.861, 0.375, 0.736)

# 6
This record from Alexandria via LeMat-Bulk describes a PBEsol-optimized structure of CsBa2Br5. The functional is meta-GGA SCAN.

Results
formation energy from raw total energies: -2.37 eV/atom
electronic total energy: -233.1 eV/f.u.
ρ: 4.6 g/cm3

Cell: 8.608 9.922 13.715 Å, 90.16 90.00 90.00°
Fractional positions:
Ba (0.970, 0.000, 0.823)
Ba (0.072, 0.752, 0.492)
Ba (0.928, 0.248, 0.508)
Ba (0.572, 0.248, 0.008)
Ba (0.530, 0.000, 0.323)
Ba (0.470, 0.000, 0.677)
Ba (0.428, 0.752, 0.992)
Ba (0.030, 0.000, 0.177)
Br (0.335, 0.041, 0.902)
Br (0.834, 0.788, 0.312)
Br (0.323, 0.461, 0.921)
Br (0.166, 0.212, 0.688)
Br (0.454, 0.784, 0.498)
Br (0.046, 0.784, 0.998)
Br (0.165, 0.041, 0.402)
Br (0.954, 0.216, 0.002)
Br (0.808, 0.227, 0.280)
Br (0.177, 0.461, 0.421)
Br (0.823, 0.539, 0.579)
Br (0.334, 0.212, 0.188)
Br (0.692, 0.227, 0.780)
Br (0.666, 0.788, 0.812)
Br (0.835, 0.959, 0.598)
Br (0.308, 0.773, 0.220)
Br (0.546, 0.216, 0.502)
Br (0.665, 0.959, 0.098)
Br (0.192, 0.773, 0.720)
Br (0.677, 0.539, 0.079)
Cs (0.557, 0.511, 0.333)
Cs (0.943, 0.511, 0.833)
Cs (0.057, 0.489, 0.167)
Cs (0.443, 0.489, 0.667)

# 7
This record from Alexandria via LeMat-Bulk describes a PBEsol-optimized structure of Cs2BaTa6Br15O3. The functional is meta-GGA SCAN.

Results
formation energy from raw total energies: -1.61 eV/atom
electronic total energy: -868.6 eV/f.u.
ρ: 6.1 g/cm3

Cell: 9.703 9.733 18.074 Å, 89.85 89.69 60.10°
Each line ends with the local moment (μB).
Fractional positions:
Br (0.610, 0.450, 0.112)  0.00
Br (0.781, 0.202, 0.412)  0.00
Br (0.057, 0.393, 0.890)  0.00
Br (0.219, 0.986, 0.914)  0.00
Br (0.793, 0.220, 0.913)  0.01
Br (0.443, 0.945, 0.115)  0.01
Br (0.060, 0.550, 0.612)  0.00
Br (0.212, 0.207, 0.251)  0.01
Br (0.795, 0.986, 0.586)  0.00
Br (0.211, 0.578, 0.250)  0.00
Br (0.017, 0.202, 0.088)  0.00
Br (0.987, 0.220, 0.587)  0.01
Br (0.013, 0.780, 0.413)  0.01
Br (0.557, 0.055, 0.885)  0.01
Br (0.390, 0.550, 0.888)  0.00
Br (0.940, 0.450, 0.388)  0.00
Br (0.418, 0.793, 0.751)  0.01
Br (0.582, 0.207, 0.249)  0.01
Br (0.219, 0.798, 0.588)  0.00
Br (0.788, 0.793, 0.749)  0.01
Br (0.549, 0.393, 0.610)  0.00
Br (0.789, 0.422, 0.750)  0.00
Br (0.451, 0.607, 0.390)  0.00
Br (0.612, 0.945, 0.385)  0.01
Br (0.943, 0.607, 0.110)  0.00
Br (0.388, 0.055, 0.615)  0.01
Br (0.205, 0.014, 0.414)  0.00
Br (0.781, 0.014, 0.086)  0.00
Br (0.983, 0.798, 0.912)  0.00
Br (0.207, 0.780, 0.087)  0.01
Cs (0.340, 0.329, 0.040)  0.00
Cs (0.669, 0.671, 0.540)  0.00
Cs (0.660, 0.671, 0.960)  0.00
Cs (0.331, 0.329, 0.460)  0.00
O (0.174, 0.652, 0.750)  0.00
O (0.167, 0.176, 0.750)  0.03
O (0.826, 0.348, 0.250)  0.00
O (0.343, 0.824, 0.250)  0.03
O (0.657, 0.176, 0.750)  0.03
O (0.833, 0.824, 0.250)  0.03
Ba (0.333, 0.334, 0.750)  0.00
Ba (0.667, 0.666, 0.250)  0.00
Ta (0.191, 0.824, 0.318)  0.19
Ta (0.015, 0.176, 0.818)  0.19
Ta (0.177, 0.987, 0.188)  0.10
Ta (0.836, 0.987, 0.312)  0.10
Ta (0.809, 0.176, 0.682)  0.19
Ta (0.164, 0.013, 0.688)  0.10
Ta (0.830, 0.186, 0.185)  0.00
Ta (0.016, 0.814, 0.685)  0.00
Ta (0.985, 0.824, 0.182)  0.19
Ta (0.170, 0.814, 0.815)  0.00
Ta (0.823, 0.013, 0.812)  0.10
Ta (0.984, 0.186, 0.315)  0.00

# 8
This record from Alexandria via LeMat-Bulk describes a PBEsol-optimized structure of BaCu2Br. The functional is meta-GGA SCAN.

Results
formation energy from raw total energies: -0.30 eV/atom
excess energy over the best structure of this formula in the dataset: 58 meV/atom
electronic total energy: -90.6 eV/f.u.
ρ: 5.7 g/cm3

Cell: 4.263 4.874 4.806 Å, 90.00 90.00 90.00°
Fractional positions:
Ba (0.000, 0.000, 0.500)
Br (0.500, 0.500, 0.500)
Cu (0.500, 0.757, 0.000)
Cu (0.500, 0.243, 0.000)

# 9
This record from Alexandria via LeMat-Bulk describes a PBEsol-optimized structure of Ba2CuBr. The functional is meta-GGA SCAN.

Results
formation energy from raw total energies: -0.64 eV/atom
excess energy over the best structure of this formula in the dataset: 239 meV/atom
electronic total energy: -116.3 eV/f.u.
ρ: 5.6 g/cm3

Cell: 5.608 5.608 5.608 Å, 60.00 60.00 60.00°
Fractional positions:
Ba (0.250, 0.250, 0.250)
Ba (0.750, 0.750, 0.750)
Br (0.000, 0.000, 0.000)
Cu (0.500, 0.500, 0.500)

# 10
This record from Alexandria via LeMat-Bulk describes a PBEsol-optimized structure of Ba2CuBr. The functional is meta-GGA SCAN.

Results
formation energy from raw total energies: -0.88 eV/atom
excess energy over the best structure of this formula in the dataset: 0 meV/atom
electronic total energy: -117.3 eV/f.u.
ρ: 4.8 g/cm3

Cell: 4.484 4.484 8.703 Å, 75.07 75.07 60.00°
Fractional positions:
Ba (0.760, 0.760, 0.721)
Ba (0.240, 0.240, 0.279)
Cu (0.500, 0.500, 0.500)
Br (0.000, 0.000, 0.000)

# 11
This record from Alexandria via LeMat-Bulk describes a PBEsol-optimized structure of BaCu2Br. The functional is meta-GGA SCAN.

Results
formation energy from raw total energies: -0.06 eV/atom
excess energy over the best structure of this formula in the dataset: 292 meV/atom
electronic total energy: -89.7 eV/f.u.
ρ: 5.9 g/cm3

Cell: 5.159 5.159 5.159 Å, 60.00 60.00 60.00°
Fractional positions:
Br (0.250, 0.250, 0.250)
Cu (0.000, 0.000, 0.000)
Cu (0.750, 0.750, 0.750)
Ba (0.500, 0.500, 0.500)

# 12
This record from Alexandria via LeMat-Bulk describes a PBEsol-optimized structure of BaCu2Br. The functional is meta-GGA SCAN.

Results
formation energy from raw total energies: -0.35 eV/atom
excess energy over the best structure of this formula in the dataset: 0 meV/atom
electronic total energy: -90.8 eV/f.u.
ρ: 5.0 g/cm3

Cell: 4.335 4.923 6.054 Å, 106.06 110.98 90.00°
Fractional positions:
Br (0.000, 0.000, 0.000)
Ba (0.500, 0.500, 0.000)
Cu (0.786, 0.575, 0.571)
Cu (0.214, 0.425, 0.429)